<w>
VASP calculation (GGA+U) on a geometry-optimized Na2MoO4 structure.

```
Na2MoO4
1.0
7.3158 0.0000 0.0000
0.0000 5.4458 2.7781
0.0000 -5.4458 2.7781
Na Mo O
4 2 8
direct
0.0000 0.0000 0.0000 Na
0.2500 0.6603 0.3805 Na
0.5000 0.0000 0.0000 Na
0.7500 0.3805 0.6603 Na
0.2500 0.3210 0.7103 Mo
0.7500 0.7103 0.3210 Mo
0.0523 0.5236 0.7768 O
0.2500 0.0410 0.3582 O
0.2500 0.2195 0.9379 O
0.4477 0.5236 0.7768 O
0.5523 0.7768 0.5236 O
0.7500 0.3582 0.0410 O
0.7500 0.9379 0.2195 O
0.9477 0.7768 0.5236 O
```

Its space-group type is Ama2. The crystal system is orthorhombic. For the density, the calculation gives 3089 kg/m³.



<x>
VASP calculation (GGA+U) on a geometry-optimized Na2MoO4 structure.

```
Na2MoO4
1.0
6.1673 0.0000 0.0000
0.0000 6.2740 0.0000
-0.9238 0.0000 6.5222
Na Mo O
4 2 8
direct
0.1665 0.2500 0.0555 Na
0.3051 0.2500 0.6115 Na
0.6949 0.7500 0.3885 Na
0.8335 0.7500 0.9445 Na
0.3132 0.7500 0.8334 Mo
0.6868 0.2500 0.1666 Mo
0.1347 0.5203 0.7929 O
0.1347 0.9797 0.7929 O
0.4442 0.7500 0.0918 O
0.4745 0.2500 0.3283 O
0.5255 0.7500 0.6717 O
0.5558 0.2500 0.9082 O
0.8653 0.0203 0.2071 O
0.8653 0.4797 0.2071 O
```

Its space-group type is P2_1/m. The crystal system is monoclinic. For the density, the calculation gives 2710 kg/m³.



<y>
VASP calculation (GGA+U) on a geometry-optimized Na2MoO4 structure.

```
Na2MoO4
1.0
0.0000 4.6203 4.6203
4.6203 0.0000 4.6203
4.6203 4.6203 0.0000
Na Mo O
4 2 8
direct
0.0000 0.0000 0.0000 Na
0.0000 0.0000 0.5000 Na
0.0000 0.5000 0.0000 Na
0.5000 0.0000 0.0000 Na
0.3750 0.3750 0.3750 Mo
0.6250 0.6250 0.6250 Mo
0.2622 0.2622 0.2622 O
0.2622 0.2622 0.7133 O
0.2622 0.7133 0.2622 O
0.2867 0.7378 0.7378 O
0.7133 0.2622 0.2622 O
0.7378 0.2867 0.7378 O
0.7378 0.7378 0.2867 O
0.7378 0.7378 0.7378 O
```

Its space-group type is Fd-3m. The crystal system is cubic. For the density, the calculation gives 3467 kg/m³.



<z>
VASP calculation (GGA+U) on a geometry-optimized Na2MoO4 structure.

```
Na2MoO4
1.0
0.0000 5.3108 6.4366
3.2560 0.0000 6.4366
3.2560 5.3108 0.0000
Na Mo O
4 2 8
direct
0.0560 0.6940 0.0560 Na
0.3060 0.9440 0.3060 Na
0.6940 0.0560 0.6940 Na
0.9440 0.3060 0.9440 Na
0.3750 0.3750 0.3750 Mo
0.6250 0.6250 0.6250 Mo
0.1922 0.7128 0.3525 O
0.2425 0.3525 0.7128 O
0.2872 0.8078 0.7575 O
0.3525 0.2425 0.1922 O
0.6475 0.7575 0.8078 O
0.7128 0.1922 0.2425 O
0.7575 0.6475 0.2872 O
0.8078 0.2872 0.6475 O
```

Its space-group type is Fddd. The crystal system is orthorhombic. For the density, the calculation gives 3072 kg/m³.



Energy ordering: <y> at the bottom, the next structure 1.7 kJ/mol of atoms above.



<w>
VASP calculation (GGA+U) on a geometry-optimized Na3MoO structure.

```
Na3MoO
1.0
4.8105 0.0000 0.0000
0.0000 4.8105 0.0000
0.0000 0.0000 4.8105
Na Mo O
3 1 1
direct
0.0000 0.0000 0.5000 Na
0.0000 0.5000 0.0000 Na
0.5000 0.0000 0.0000 Na
0.5000 0.5000 0.5000 Mo
0.0000 0.0000 0.0000 O
```

Its space-group type is Pm-3m. The crystal system is cubic. For the density, the calculation gives 2699 kg/m³.



<x>
VASP calculation (GGA+U) on a geometry-optimized Na3MoO structure.

```
Na3MoO
1.0
5.8203 0.0000 0.0000
0.0000 5.8203 0.0000
0.0000 0.0000 5.8203
Na Mo O
3 1 1
direct
0.0000 0.0000 0.5000 Na
0.0000 0.5000 0.0000 Na
0.5000 0.0000 0.0000 Na
0.0000 0.0000 0.0000 Mo
0.5000 0.5000 0.5000 O
```

Its space-group type is Pm-3m. The crystal system is cubic. For the density, the calculation gives 1524 kg/m³.



Energy ordering: <w> at the bottom, the next structure 110.0 kJ/mol of atoms above.